This record from Alexandria via LeMat-Bulk describes Ba2CoSn2 after structural relaxation. The functional is PBE-GGA.

Cell: 7.3998 7.3998 5.6313 Å, 90.00 90.00 90.00°
With the nearest neighbours (Å) after each atom.
Fractional coordinates of all 10 atoms:
1 Ba 0.1653 0.3347 0.0000  6 Sn 3.42-3.66, 1 Ba 3.46
2 Ba 0.3347 0.8347 0.0000  6 Sn 3.42-3.66, 1 Ba 3.46
3 Ba 0.6653 0.1653 0.0000  6 Sn 3.42-3.66, 1 Ba 3.46
4 Ba 0.8347 0.6653 0.0000  6 Sn 3.42-3.66, 1 Ba 3.46
5 Co 0.0000 0.0000 0.5000  4 Sn 2.82
6 Co 0.5000 0.5000 0.5000  4 Sn 2.82
7 Sn 0.1494 0.6494 0.5000  2 Co 2.82, 1 Sn 3.13
8 Sn 0.3506 0.1494 0.5000  2 Co 2.82, 1 Sn 3.13
9 Sn 0.6494 0.8506 0.5000  2 Co 2.82, 1 Sn 3.13
10 Sn 0.8506 0.3506 0.5000  2 Co 2.82, 1 Sn 3.13

Values from the calculation:
SG: P4/mbm, No. 127
Energy: -0.287 Ry per atom

---

This record from Alexandria via LeMat-Bulk describes LaTeAs2 after structural relaxation. The functional is PBE-GGA.

Cell: 4.4234 4.4234 5.9950 Å, 111.53 111.53 89.90°
With the nearest neighbours (Å) after each atom.
Fractional coordinates of all 4 atoms:
1 La 0.0000 0.0000 0.0000  4 Te 3.13, 8 As 3.38-3.39
2 Te 0.5000 0.5000 0.0000  4 La 3.13, 8 As 3.38-3.39
3 As 0.2499 0.7501 0.5000  4 As 3.12-3.13, 4 La 3.38-3.39, 4 Te 3.38-3.39
4 As 0.7501 0.2499 0.5000  4 As 3.12-3.13, 4 La 3.38-3.39, 4 Te 3.38-3.39

Values from the calculation:
E_form (uncorrected): -0.624 eV per atom
SG: C2/m, No. 12
Energy: -0.365 Ry per atom

---

This record from Alexandria via LeMat-Bulk describes KPuCl6 after structural relaxation. The functional is PBE-GGA.

Cell: 6.8230 6.8230 6.8028 Å, 97.98 97.98 111.98°
With the nearest neighbours (Å) after each atom.
Fractional coordinates of all 8 atoms:
1 K 0.0000 0.0000 0.0000  6 Cl 3.26-3.27
2 Pu 0.5000 0.5000 0.5000  6 Cl 2.52-2.53
3 Cl 0.1853 0.4979 0.2538  1 Pu 2.53
4 Cl 0.2370 0.2370 0.6625  1 Pu 2.52
5 Cl 0.4979 0.1853 0.2538  1 Pu 2.53
6 Cl 0.5021 0.8147 0.7462  1 Pu 2.53
7 Cl 0.7630 0.7630 0.3375  1 Pu 2.52
8 Cl 0.8147 0.5021 0.7462  1 Pu 2.53

Values from the calculation:
E_form (uncorrected): -1.567 eV per atom
SG: C2/m, No. 12
Energy: -0.359 Ry per atom

---

This record from Alexandria via LeMat-Bulk describes Cu2Te2S3 after structural relaxation. The functional is PBE-GGA.

Cell: 7.0067 7.0067 6.4251 Å, 113.04 113.04 30.38°
With the nearest neighbours (Å) after each atom.
Fractional coordinates of all 7 atoms:
1 Cu 0.1801 0.1801 0.0470  4 S 2.26-2.36
2 Cu 0.8199 0.8199 0.9530  4 S 2.26-2.36
3 Te 0.4273 0.4273 0.6055  1 Te 2.81, 4 S 2.95-2.96
4 Te 0.5727 0.5727 0.3945  1 Te 2.81, 4 S 2.95-2.96
5 S 0.0000 0.0000 0.0000  2 Cu 2.33
6 S 0.2208 0.2208 0.7385  3 Cu 2.26-2.36
7 S 0.7792 0.7792 0.2615  3 Cu 2.26-2.36

Values from the calculation:
E_form (uncorrected): 0.094 eV per atom
SG: C2/m, No. 12
Energy: -0.275 Ry per atom

---

This record from Alexandria via LeMat-Bulk describes Al2SnSeS after structural relaxation. The functional is PBE-GGA.

Cell: 4.8384 4.8384 5.5039 Å, 90.00 90.00 90.00°
With the nearest neighbours (Å) after each atom.
Fractional coordinates of all 5 atoms:
1 Al 0.0000 0.5000 0.0000  2 S 2.42
2 Al 0.5000 0.0000 0.0000  2 S 2.42
3 Sn 0.0000 0.0000 0.5000  2 S 2.75
4 Se 0.5000 0.5000 0.5000  4 Sn 3.42, 8 Al 3.66
5 S 0.0000 0.0000 0.0000  4 Al 2.42

Values from the calculation:
E_form (uncorrected): 0.300 eV per atom
SG: P4/mmm, No. 123
Energy: -0.259 Ry per atom

---

This record from Alexandria via LeMat-Bulk describes SbIrI2O after structural relaxation. The functional is PBE-GGA.

Cell: 4.9936 4.9936 4.5170 Å, 90.00 90.00 90.00°
With the nearest neighbours (Å) after each atom.
Fractional coordinates of all 5 atoms:
1 Sb 0.0000 0.0000 0.0000  2 O 2.26
2 Ir 0.5000 0.5000 0.0000  8 I 3.37, 4 Sb 3.53
3 I 0.0000 0.5000 0.5000  2 O 2.50
4 I 0.5000 0.0000 0.5000  2 O 2.50
5 O 0.0000 0.0000 0.5000  2 Sb 2.26, 4 I 2.50

Values from the calculation:
E_form (uncorrected): 1.008 eV per atom
SG: P4/mmm, No. 123
Energy: -0.235 Ry per atom

---

This record from Alexandria via LeMat-Bulk describes PmAlIr2 after structural relaxation. The functional is PBE-GGA.

Cell: 5.5347 5.5347 5.5347 Å, 46.50 46.50 46.50°
With the nearest neighbours (Å) after each atom.
Fractional coordinates of all 4 atoms:
1 Pm 0.0000 0.0000 0.0000  8 Ir 2.95-3.20
2 Al 0.5000 0.5000 0.5000  6 Ir 2.57
3 Ir 0.1999 0.1999 0.1999  3 Al 2.57, 3 Ir 2.71
4 Ir 0.8001 0.8001 0.8001  3 Al 2.57, 3 Ir 2.71

Values from the calculation:
SG: R-3m, No. 166
Energy: -0.525 Ry per atom

---

This record from Alexandria via LeMat-Bulk describes PuSi2Pd after structural relaxation. The functional is PBE-GGA.

Cell: 5.5103 5.5103 5.5103 Å, 43.84 43.84 43.84°
With the nearest neighbours (Å) after each atom.
Fractional coordinates of all 4 atoms:
1 Pu 0.0000 0.0000 0.0000  8 Si 2.95-3.23
2 Si 0.2164 0.2164 0.2164  3 Pd 2.49
3 Si 0.7836 0.7836 0.7836  3 Pd 2.49
4 Pd 0.5000 0.5000 0.5000  6 Si 2.49

Values from the calculation:
E_form (uncorrected): -0.580 eV per atom
SG: R-3m, No. 166
Energy: -0.601 Ry per atom

---

| no. | density (g/cm3) |
| --- | --- |
| 1 | 6.2 |
| 2 | 6.9 |
| 3 | 2.9 |
| 4 | 5.4 |
| 5 | 3.7 |
| 6 | 8.6 |
| 7 | 11.3 |
| 8 | 9.3 |